No. 1
# LiCo2F | Alexandria | GGA+U | optimized geometry
data_LiCo2F
_cell_length_a 5.860
_cell_length_b 5.860
_cell_length_c 5.860
_cell_angle_alpha 90.00
_cell_angle_beta 90.00
_cell_angle_gamma 90.00
_symmetry_space_group_name_H-M 'F m -3 m'
_symmetry_Int_Tables_number 225
_symmetry_space_group_name_Hall '-F 4 2 3'
loop_
_atom_site_label
_atom_site_fract_x
_atom_site_fract_y
_atom_site_fract_z
_atom_site_occupancy
Li1 0.000 0.000 0.000 1
Co1 0.250 0.250 0.250 1
F1 0.000 0.000 0.500 1
# Total magnetization in μB per formula unit: 3.94
# Electronic total energy in eV per cell: -49.4


No. 2
# LiCoF4 | Alexandria | GGA+U | optimized geometry
data_LiCoF4
_cell_length_a 6.691
_cell_length_b 6.691
_cell_length_c 5.890
_cell_angle_alpha 90.00
_cell_angle_beta 90.00
_cell_angle_gamma 90.00
_symmetry_space_group_name_H-M 'I 41 m d'
_symmetry_Int_Tables_number 109
_symmetry_space_group_name_Hall 'I 4bw -2'
loop_
_atom_site_label
_atom_site_fract_x
_atom_site_fract_y
_atom_site_fract_z
_atom_site_occupancy
Li1 0.000 0.000 0.000 1
Co1 0.000 0.000 0.485 1
F1 0.000 0.186 0.723 1
F2 0.000 0.189 0.262 1
# Total magnetization in μB per formula unit: 2.01
# Electronic total energy in eV per cell: -111.3


No. 3
# Li3Co4F12 | Alexandria | GGA+U | optimized geometry
data_Li3Co4F12
_cell_length_a 7.596
_cell_length_b 7.596
_cell_length_c 7.596
_cell_angle_alpha 90.00
_cell_angle_beta 90.00
_cell_angle_gamma 90.00
_symmetry_space_group_name_H-M 'I m -3'
_symmetry_Int_Tables_number 204
_symmetry_space_group_name_Hall '-I 2 2 3'
loop_
_atom_site_label
_atom_site_fract_x
_atom_site_fract_y
_atom_site_fract_z
_atom_site_occupancy
Li1 0.000 0.000 0.500 1
Co1 0.250 0.250 0.250 1
F1 0.000 0.185 0.315 1
# Total magnetization in μB per formula unit: 13.02
# Electronic total energy in eV per cell: -185.5


No. 4
# Li4CoF6 | Alexandria | GGA+U | optimized geometry
data_Li4CoF6
_cell_length_a 2.860
_cell_length_b 9.597
_cell_length_c 14.907
_cell_angle_alpha 90.00
_cell_angle_beta 90.00
_cell_angle_gamma 90.00
_symmetry_space_group_name_H-M 'C m c m'
_symmetry_Int_Tables_number 63
_symmetry_space_group_name_Hall '-C 2c 2'
loop_
_atom_site_label
_atom_site_fract_x
_atom_site_fract_y
_atom_site_fract_z
_atom_site_occupancy
Li1 0.000 0.105 0.124 1
Li2 0.000 0.363 0.041 1
Co1 0.000 0.143 0.750 1
F1 0.000 0.000 0.000 1
F2 0.000 0.204 0.250 1
F3 0.000 0.273 0.581 1
F4 0.000 0.456 0.165 1
# Total magnetization in μB per formula unit: 3.00
# Electronic total energy in eV per cell: -214.3


No. 5
# LiCoF5 | Alexandria | GGA+U | optimized geometry
data_LiCoF5
_cell_length_a 8.577
_cell_length_b 5.875
_cell_length_c 7.587
_cell_angle_alpha 90.00
_cell_angle_beta 117.47
_cell_angle_gamma 90.00
_symmetry_space_group_name_H-M 'C 1 2/c 1'
_symmetry_Int_Tables_number 15
loop_
_symmetry_equiv_pos_as_xyz
'x,y,z'
'-x,-y,-z'
'-x,y,-z+1/2'
'x,-y,z+1/2'
'x+1/2,y+1/2,z'
'-x+1/2,-y+1/2,-z'
'-x+1/2,y+1/2,-z+1/2'
'x+1/2,-y+1/2,z+1/2'
loop_
_atom_site_label
_atom_site_fract_x
_atom_site_fract_y
_atom_site_fract_z
_atom_site_occupancy
Li1 0.000 0.031 0.250 1
Co1 0.000 0.500 0.000 1
F1 0.000 0.380 0.250 1
F2 0.030 0.206 0.957 1
F3 0.229 0.463 0.629 1
# Total magnetization in μB per formula unit: 3.00
# Electronic total energy in eV per cell: -120.5


No. 6
# LiCoF2 | Alexandria | GGA+U | optimized geometry
data_LiCoF2
_cell_length_a 5.502
_cell_length_b 5.502
_cell_length_c 5.502
_cell_angle_alpha 90.00
_cell_angle_beta 90.00
_cell_angle_gamma 90.00
_symmetry_space_group_name_H-M 'F m -3 m'
_symmetry_Int_Tables_number 225
_symmetry_space_group_name_Hall '-F 4 2 3'
loop_
_atom_site_label
_atom_site_fract_x
_atom_site_fract_y
_atom_site_fract_z
_atom_site_occupancy
Li1 0.000 0.000 0.000 1
Co1 0.000 0.000 0.500 1
F1 0.250 0.250 0.250 1
# Total magnetization in μB per formula unit: 2.33
# Electronic total energy in eV per cell: -65.9


No. 7
# Li2CoF5 | Alexandria | GGA+U | optimized geometry
data_Li2CoF5
_cell_length_a 3.887
_cell_length_b 10.060
_cell_length_c 9.801
_cell_angle_alpha 90.00
_cell_angle_beta 90.00
_cell_angle_gamma 90.00
_symmetry_space_group_name_H-M 'C m c m'
_symmetry_Int_Tables_number 63
_symmetry_space_group_name_Hall '-C 2c 2'
loop_
_atom_site_label
_atom_site_fract_x
_atom_site_fract_y
_atom_site_fract_z
_atom_site_occupancy
Li1 0.000 0.128 0.070 1
Co1 0.000 0.195 0.750 1
F1 0.000 0.060 0.618 1
F2 0.000 0.264 0.250 1
F3 0.000 0.322 0.601 1
# Total magnetization in μB per formula unit: 3.98
# Electronic total energy in eV per cell: -151.5


No. 8
# LiCo2F | Alexandria | GGA+U | optimized geometry
data_LiCo2F
_cell_length_a 7.764
_cell_length_b 7.764
_cell_length_c 3.757
_cell_angle_alpha 90.00
_cell_angle_beta 90.00
_cell_angle_gamma 90.00
_symmetry_space_group_name_H-M 'I -4 2 d'
_symmetry_Int_Tables_number 122
_symmetry_space_group_name_Hall 'I -4 2bw'
loop_
_atom_site_label
_atom_site_fract_x
_atom_site_fract_y
_atom_site_fract_z
_atom_site_occupancy
Li1 0.000 0.000 0.000 1
Co1 0.154 0.250 0.625 1
F1 0.000 0.000 0.500 1
# Total magnetization in μB per formula unit: 4.03
# Electronic total energy in eV per cell: -60.2